1.
This record from Alexandria describes a geometry-optimized CrSi2Pb structure. The functional is PBE.

Values from the calculation:
* formation energy without anion corrections: 0.66 eV per atom
* energy: -43.06 eV/cell
* total moment: 0.867 μB per atom

```
data_CrSi2Pb
_cell_length_a 5.510
_cell_length_b 7.628
_cell_length_c 3.685
_cell_angle_alpha 90.00
_cell_angle_beta 90.17
_cell_angle_gamma 90.00
_space_group_name_H-M_alt 'C 1 2/m 1'
_space_group_IT_number 12
loop_
_space_group_symop_operation_xyz
'x,y,z'
'-x,-y,-z'
'-x,y,-z'
'x,-y,z'
'x+1/2,y+1/2,z'
'-x+1/2,-y+1/2,-z'
'-x+1/2,y+1/2,-z'
'x+1/2,-y+1/2,z'
loop_
_atom_site_label
_atom_site_type_symbol
_atom_site_fract_x
_atom_site_fract_y
_atom_site_fract_z
Cr1 Cr 0.000 0.000 0.000
Si1 Si 0.250 0.250 0.500
Pb1 Pb 0.000 0.500 0.000
```

=====

2.
This record from Alexandria describes a geometry-optimized Cr2SiPb structure. The functional is PBE.

Values from the calculation:
* formation energy without anion corrections: 0.34 eV per atom
* energy: -27.04 eV/cell
* total moment: 0.023 μB per atom

```
data_Cr2SiPb
_cell_length_a 3.002
_cell_length_b 3.002
_cell_length_c 7.774
_cell_angle_alpha 90.00
_cell_angle_beta 90.00
_cell_angle_gamma 90.00
_space_group_name_H-M_alt 'P 4 m m'
_space_group_IT_number 99
loop_
_space_group_symop_operation_xyz
'x,y,z'
'-y,x,z'
'-x,-y,z'
'y,-x,z'
'-x,y,z'
'y,x,z'
'x,-y,z'
'-y,-x,z'
loop_
_atom_site_label
_atom_site_type_symbol
_atom_site_fract_x
_atom_site_fract_y
_atom_site_fract_z
Cr1 Cr 0.000 0.000 0.000
Cr2 Cr 0.500 0.500 0.154
Si1 Si 0.500 0.500 0.825
Pb1 Pb 0.000 0.000 0.433
```

=====

3.
This record from Alexandria describes a geometry-optimized CrSi2Pb structure. The functional is PBE.

Values from the calculation:
* formation energy without anion corrections: 0.41 eV per atom
* energy: -67.63 eV/cell
* total moment: 0.211 μB per atom

```
data_CrSi2Pb
_cell_length_a 3.1273
_cell_length_b 3.1273
_cell_length_c 25.8233
_cell_angle_alpha 90.00
_cell_angle_beta 90.00
_cell_angle_gamma 120.00
_space_group_name_H-M_alt 'R -3 m'
_space_group_IT_number 166
_space_group_name_Hall '-R 3 2"'
loop_
_atom_site_label
_atom_site_type_symbol
_atom_site_fract_x
_atom_site_fract_y
_atom_site_fract_z
Cr1 Cr 0.0000 0.0000 0.0000
Si1 Si 0.0000 0.0000 0.2712
Pb1 Pb 0.0000 0.0000 0.5000
```

=====

4.
This record from Alexandria describes a geometry-optimized Cr2SiPb structure. The functional is PBE.

Values from the calculation:
* formation energy without anion corrections: 0.41 eV per atom
* energy: -53.48 eV/cell
* total moment: 1.046 μB per atom

```
data_Cr2SiPb
_cell_length_a 3.941
_cell_length_b 4.579
_cell_length_c 7.174
_cell_angle_alpha 90.00
_cell_angle_beta 90.00
_cell_angle_gamma 90.00
_space_group_name_H-M_alt 'C m m m'
_space_group_IT_number 65
_space_group_name_Hall '-C 2 2'
loop_
_atom_site_label
_atom_site_type_symbol
_atom_site_fract_x
_atom_site_fract_y
_atom_site_fract_z
Cr1 Cr 0.000 0.000 0.200
Si1 Si 0.000 0.500 0.000
Pb1 Pb 0.000 0.500 0.500
```

=====

5.
This record from Alexandria describes a geometry-optimized Cr2SiPb structure. The functional is PBE.

Values from the calculation:
* formation energy without anion corrections: 0.35 eV per atom
* energy: -53.96 eV/cell
* total moment: 0.054 μB per atom

```
data_Cr2SiPb
_cell_length_a 2.974
_cell_length_b 3.845
_cell_length_c 12.481
_cell_angle_alpha 90.00
_cell_angle_beta 90.00
_cell_angle_gamma 90.00
_space_group_name_H-M_alt 'I m m 2'
_space_group_IT_number 44
loop_
_space_group_symop_operation_xyz
'x,y,z'
'-x,-y,z'
'-x,y,z'
'x,-y,z'
'x+1/2,y+1/2,z+1/2'
'-x+1/2,-y+1/2,z+1/2'
'-x+1/2,y+1/2,z+1/2'
'x+1/2,-y+1/2,z+1/2'
loop_
_atom_site_label
_atom_site_type_symbol
_atom_site_fract_x
_atom_site_fract_y
_atom_site_fract_z
Cr1 Cr 0.000 0.000 0.000
Cr2 Cr 0.000 0.500 0.339
Si1 Si 0.000 0.000 0.461
Pb1 Pb 0.000 0.500 0.703
```

=====

6.
This record from Alexandria describes a geometry-optimized CrSiPb3 structure. The functional is PBE.

Values from the calculation:
* formation energy without anion corrections: 0.89 eV per atom
* energy: -21.72 eV/cell
* total moment: 0.939 μB per atom

```
data_CrSiPb3
_cell_length_a 5.387
_cell_length_b 5.387
_cell_length_c 5.387
_cell_angle_alpha 90.00
_cell_angle_beta 90.00
_cell_angle_gamma 90.00
_space_group_name_H-M_alt 'P m -3 m'
_space_group_IT_number 221
_space_group_name_Hall '-P 4 2 3'
loop_
_atom_site_label
_atom_site_type_symbol
_atom_site_fract_x
_atom_site_fract_y
_atom_site_fract_z
Cr1 Cr 0.000 0.000 0.000
Si1 Si 0.500 0.500 0.500
Pb1 Pb 0.000 0.500 0.500
```

=====

- Among the records above, which one has the lowest total moment?
  number 2